(1)
RuPtW2: optimized geometry, PBE-GGA.

Output
spin magnetization: 0.000 μB/cell
crystal system: monoclinic
ΔE to the lowest computed polymorph: 0.76 eV/f.u.
total energy: -41.15 eV/f.u.
calculated formation energy: 0.07 eV per formula unit

Cell lengths 9.295, 2.795, 4.818 Å; angles 90.00, 100.11, 90.00 degrees
Space group C2/m (No. 12)
Unique sites:
Ru1 0.000 0.000 0.000 x2
Pt1 0.000 0.500 0.500 x2
W1 0.248 0.500 0.246 x4



(2)
LiBePRh: optimized geometry, PBE-GGA.

Output
spin magnetization: 0.000 μB/cell
crystal system: cubic
total energy: -20.17 eV/f.u.
calculated formation energy: -1.76 eV per formula unit

Cell lengths 5.658, 5.658, 5.658 Å; angles 90.00, 90.00, 90.00 degrees
Space group F-43m (No. 216)
Unique sites:
Li1 0.000 0.000 0.000 x4
Be1 0.250 0.250 0.250 x4
P1 0.250 0.250 0.750 x4
Rh1 0.000 0.000 0.500 x4



(3)
Tb2HoAl: optimized geometry, PBE-GGA.

Output
spin magnetization: 2.462 μB/cell
crystal system: trigonal
ΔE to the lowest computed polymorph: 1.27 eV/f.u.
total energy: -17.10 eV/f.u.
calculated formation energy: 0.48 eV per formula unit

Cell lengths 3.4627, 3.4627, 34.4425 Å; angles 90.00, 90.00, 120.00 degrees
Space group R-3m (No. 166, hexagonal axes)
Unique sites:
Tb1 0.0000 0.0000 0.1001 x6
Ho1 0.0000 0.0000 0.0000 x3
Al1 0.0000 0.0000 0.5000 x3



(4)
NdSm3Pb4: optimized geometry, PBE-GGA.

Output
spin magnetization: 0.003 μB/cell
crystal system: monoclinic
total energy: -37.71 eV/f.u.
calculated formation energy: -3.95 eV per formula unit

Cell lengths 18.853, 5.106, 5.109 Å; angles 90.00, 105.58, 90.00 degrees
Space group C2/m (No. 12)
Unique sites:
Nd1 0.000 0.000 0.000 x2
Sm1 0.000 0.500 0.500 x2
Sm2 0.250 0.000 0.250 x4
Pb1 0.126 0.000 0.625 x4
Pb2 0.126 0.500 0.125 x4



(5)
LiPmCl3: optimized geometry, PBE-GGA.

Output
spin magnetization: 6.088 μB/cell
crystal system: trigonal
formation energy (no corrections): -1836 meV/atom
total energy: -21.38 eV/f.u.

Cell lengths 6.5419, 6.5419, 19.7971 Å; angles 90.00, 90.00, 120.00 degrees
Space group R-3 (No. 148, hexagonal axes)
Unique sites:
Li1 0.0000 0.0000 0.1555 x6
Pm1 0.0000 0.0000 0.3398 x6
Cl1 0.0075 0.3544 0.4238 x18



(6)
La2Sm3: optimized geometry, PBE-GGA.

Output
spin magnetization: 0.000 μB/cell
crystal system: orthorhombic
total energy: -23.43 eV/f.u.
calculated formation energy: 0.58 eV per formula unit

Cell lengths 6.520, 16.754, 6.459 Å; angles 90.00, 90.00, 90.00 degrees
Space group Ibam (No. 72)
Unique sites:
La1 0.125 0.191 0.000 x8
Sm1 0.000 0.000 0.250 x4
Sm2 0.104 0.405 0.000 x8



(7)
PrZn2Cu8: optimized geometry, PBE-GGA.

Output
spin magnetization: 0.000 μB/cell
crystal system: tetragonal
total energy: -37.16 eV/f.u.
calculated formation energy: 2.94 eV per formula unit

Cell lengths 4.805, 4.805, 8.714 Å; angles 90.00, 90.00, 90.00 degrees
Space group P4/mmm (No. 123)
Unique sites:
Pr1 0.000 0.000 0.000 x1
Zn1 0.000 0.500 0.500 x2
Cu1 0.252 0.252 0.281 x8



(8)
DyZn3Pt: optimized geometry, PBE-GGA.

Output
spin magnetization: 0.000 μB/cell
crystal system: monoclinic
total energy: -17.41 eV/f.u.
calculated formation energy: -2.95 eV per formula unit

Cell lengths 5.599, 5.373, 5.900 Å; angles 90.00, 92.51, 90.00 degrees
Space group P2_1/m (No. 11)
Unique sites:
Dy1 0.154 0.250 0.170 x2
Zn1 0.331 0.002 0.667 x4
Zn2 0.376 0.750 0.048 x2
Pt1 0.072 0.750 0.360 x2



(9)
TlCdSn2Te: optimized geometry, PBE-GGA.

Output
spin magnetization: 0.000 μB/cell
crystal system: tetragonal
ΔE to the lowest computed polymorph: 0.70 eV/f.u.
formation energy (no corrections): 467 meV/atom
total energy: -12.09 eV/f.u.

Cell lengths 5.741, 5.741, 5.401 Å; angles 90.00, 90.00, 90.00 degrees
Space group P4/mmm (No. 123)
Unique sites:
Tl1 0.000 0.000 0.000 x1
Cd1 0.000 0.000 0.500 x1
Sn1 0.000 0.500 0.000 x2
Te1 0.500 0.500 0.500 x1



(10)
Tm5Ga4Hg: optimized geometry, PBE-GGA.

Output
spin magnetization: 0.000 μB/cell
crystal system: tetragonal
total energy: -40.23 eV/f.u.
calculated formation energy: -5.47 eV per formula unit

Cell lengths 3.520, 3.520, 18.138 Å; angles 90.00, 90.00, 90.00 degrees
Space group P4/mmm (No. 123)
Unique sites:
Tm1 0.000 0.000 0.000 x1
Tm2 0.000 0.000 0.195 x2
Tm3 0.000 0.000 0.390 x2
Ga1 0.500 0.500 0.097 x2
Ga2 0.500 0.500 0.294 x2
Hg1 0.500 0.500 0.500 x1



(11)
BaPuS2O: optimized geometry, PBE-GGA.

Output
spin magnetization: 8.000 μB/cell
crystal system: monoclinic
formation energy (no corrections): -2166 meV/atom
total energy: -40.30 eV/f.u.

Cell lengths 7.414, 4.103, 8.622 Å; angles 90.00, 106.13, 90.00 degrees
Space group P2_1/m (No. 11)
Unique sites:
Ba1 0.194 0.250 0.308 x2
Pu1 0.313 0.250 0.822 x2
S1 0.308 0.750 0.040 x2
S2 0.344 0.750 0.622 x2
O1 0.037 0.250 0.746 x2



(12)
ErPaGa: optimized geometry, PBE-GGA.

Output
spin magnetization: 0.104 μB/cell
crystal system: trigonal
ΔE to the lowest computed polymorph: 0.54 eV/f.u.
total energy: -16.98 eV/f.u.
calculated formation energy: 0.11 eV per formula unit

Cell lengths 5.0509, 5.0509, 3.2652 Å; angles 90.00, 90.00, 120.00 degrees
Space group P3m1 (No. 156)
Unique sites:
Er1 0.0000 0.0000 0.0000 x1
Pa1 0.3333 0.6667 0.5372 x1
Ga1 0.6667 0.3333 0.2163 x1



(13)
PmRu2Pb: optimized geometry, PBE-GGA.

Output
spin magnetization: 0.000 μB/cell
crystal system: tetragonal
total energy: -26.91 eV/f.u.
calculated formation energy: 0.10 eV per formula unit

Cell lengths 4.712, 4.712, 3.503 Å; angles 90.00, 90.00, 90.00 degrees
Space group P4/mmm (No. 123)
Unique sites:
Pm1 0.000 0.000 0.000 x1
Ru1 0.000 0.500 0.500 x2
Pb1 0.500 0.500 0.000 x1